No. 1
{"formula": "LiReTe2AuSe", "functional": "PBE-GGA", "state": "optimized geometry", "cell": [[-0.5093, 8.2001, -0.0363], [-3.2662, -7.4860, -0.8915], [-2.3031, -0.1019, 9.2931]], "species": ["Au", "Au", "Li", "Li", "Re", "Re", "Se", "Se", "Te", "Te", "Te", "Te"], "fractional_positions": [[0.1592, 0.8408, 0.2500], [0.8408, 0.1592, 0.7500], [0.7675, 0.2325, 0.2500], [0.2325, 0.7675, 0.7500], [0.5000, 0.5000, 0.0000], [0.5000, 0.5000, 0.5000], [0.5035, 0.4965, 0.2500], [0.4965, 0.5035, 0.7500], [0.8762, 0.1238, 0.0193], [0.8762, 0.1238, 0.4807], [0.1238, 0.8762, 0.5193], [0.1238, 0.8762, 0.9807]]}

No. 2
{"formula": "Cu3Ag", "functional": "PBE-GGA", "state": "optimized geometry", "cell": [[4.3637, -1.3564, 0.0000], [4.3637, 1.3564, 0.0000], [-1.7730, 0.0000, 9.0470]], "species": ["Ag", "Ag", "Cu", "Cu", "Cu", "Cu", "Cu", "Cu"], "fractional_positions": [[0.2548, 0.2548, 0.1374], [0.7452, 0.7452, 0.8626], [0.5000, 0.5000, 0.0000], [0.0102, 0.0102, 0.2673], [0.7542, 0.7542, 0.3878], [0.5000, 0.5000, 0.5000], [0.2458, 0.2458, 0.6122], [0.9898, 0.9898, 0.7327]], "delta_e_f_ev_per_atom": 0.08}

No. 3
{"formula": "Pr3Sm3Te2Pt", "functional": "PBE-GGA", "state": "optimized geometry", "cell": [[-2.5825, 8.1543, 1.7281], [-5.1733, -6.7337, 2.0105], [1.7033, -0.2277, 3.6201]], "species": ["Pr", "Pr", "Pr", "Pt", "Sm", "Sm", "Sm", "Te", "Te"], "fractional_positions": [[0.2489, 0.0000, 0.5000], [0.0000, 0.2489, 0.5000], [0.7511, 0.7511, 0.5000], [0.0000, 0.0000, 0.0000], [0.5909, 0.0000, 0.0000], [0.4091, 0.4091, 0.0000], [0.0000, 0.5909, 0.0000], [0.6667, 0.3333, 0.5000], [0.3333, 0.6667, 0.5000]]}

No. 4
{"formula": "Cs2Zn3P4O14", "functional": "PBE-GGA", "state": "optimized geometry", "cell": [[-11.5098, -1.0379, -6.5292], [-1.4848, -6.2072, 3.6041], [-6.3701, 7.6574, 10.5637]], "species": ["Cs", "Cs", "Cs", "Cs", "Cs", "Cs", "Cs", "Cs", "O", "O", "O", "O", "O", "O", "O", "O", "O", "O", "O", "O", "O", "O", "O", "O", "O", "O", "O", "O", "O", "O", "O", "O", "O", "O", "O", "O", "O", "O", "O", "O", "O", "O", "O", "O", "O", "O", "O", "O", "O", "O", "O", "O", "O", "O", "O", "O", "O", "O", "O", "O", "O", "O", "O", "O", "P", "P", "P", "P", "P", "P", "P", "P", "P", "P", "P", "P", "P", "P", "P", "P", "Zn", "Zn", "Zn", "Zn", "Zn", "Zn", "Zn", "Zn", "Zn", "Zn", "Zn", "Zn"], "fractional_positions": [[0.0907, 0.2440, 0.0264], [0.6021, 0.5152, 0.1770], [0.3979, 0.0152, 0.3230], [0.9093, 0.7440, 0.4736], [0.0907, 0.2560, 0.5264], [0.6021, 0.9848, 0.6770], [0.3979, 0.4848, 0.8230], [0.9093, 0.7560, 0.9736], [0.1511, 0.8038, 0.0314], [0.5890, 0.8050, 0.0342], [0.3754, 0.4212, 0.0848], [0.7097, 0.1817, 0.0888], [0.8403, 0.4240, 0.0952], [0.2953, 0.1098, 0.0987], [0.8951, 0.0942, 0.1267], [0.4828, 0.1521, 0.1295], [0.2144, 0.4851, 0.1680], [0.3586, 0.7128, 0.1706], [0.0027, 0.4829, 0.1788], [0.8552, 0.7061, 0.1835], [0.1518, 0.9016, 0.2294], [0.6221, 0.9127, 0.2414], [0.3779, 0.4127, 0.2586], [0.8482, 0.4016, 0.2706], [0.1448, 0.2061, 0.3165], [0.9973, 0.9829, 0.3212], [0.6414, 0.2128, 0.3294], [0.7856, 0.9851, 0.3320], [0.5172, 0.6521, 0.3705], [0.1049, 0.5942, 0.3733], [0.7047, 0.6098, 0.4013], [0.1597, 0.9240, 0.4048], [0.2903, 0.6817, 0.4112], [0.6246, 0.9212, 0.4152], [0.4110, 0.3050, 0.4658], [0.8489, 0.3038, 0.4686], [0.1511, 0.6962, 0.5314], [0.5890, 0.6950, 0.5342], [0.3754, 0.0788, 0.5848], [0.7097, 0.3183, 0.5888], [0.8403, 0.0760, 0.5952], [0.2953, 0.3902, 0.5987], [0.8951, 0.4058, 0.6267], [0.4828, 0.3479, 0.6295], [0.2144, 0.0149, 0.6680], [0.3586, 0.7872, 0.6706], [0.0027, 0.0171, 0.6788], [0.8552, 0.7939, 0.6835], [0.1518, 0.5984, 0.7294], [0.6221, 0.5873, 0.7414], [0.3779, 0.0873, 0.7586], [0.8482, 0.0984, 0.7706], [0.1448, 0.2939, 0.8165], [0.9973, 0.5171, 0.8212], [0.6414, 0.2872, 0.8294], [0.7856, 0.5149, 0.8320], [0.5172, 0.8479, 0.8705], [0.1049, 0.9058, 0.8733], [0.7047, 0.8902, 0.9013], [0.1597, 0.5760, 0.9048], [0.2903, 0.8183, 0.9112], [0.6246, 0.5788, 0.9152], [0.4110, 0.1950, 0.9658], [0.8489, 0.1962, 0.9686], [0.3921, 0.2033, 0.0692], [0.8209, 0.2102, 0.0698], [0.3280, 0.5109, 0.1769], [0.8896, 0.5078, 0.1904], [0.1104, 0.0078, 0.3096], [0.6720, 0.0109, 0.3231], [0.1791, 0.7102, 0.4302], [0.6079, 0.7033, 0.4308], [0.3921, 0.2967, 0.5692], [0.8209, 0.2898, 0.5698], [0.3280, 0.9891, 0.6769], [0.8896, 0.9922, 0.6904], [0.1104, 0.4922, 0.8096], [0.6720, 0.4891, 0.8231], [0.1791, 0.7898, 0.9302], [0.6079, 0.7967, 0.9308], [0.6044, 0.0093, 0.1164], [0.2456, 0.8654, 0.1297], [0.8844, 0.9475, 0.2367], [0.1156, 0.4475, 0.2633], [0.7544, 0.3654, 0.3703], [0.3956, 0.5093, 0.3836], [0.6044, 0.4907, 0.6164], [0.2456, 0.6346, 0.6297], [0.8844, 0.5525, 0.7367], [0.1156, 0.0525, 0.7633], [0.7544, 0.1346, 0.8703], [0.3956, 0.9907, 0.8836]]}

No. 5
{"formula": "Bi2IrW", "functional": "PBE-GGA", "state": "optimized geometry", "cell": [[-4.2519, 1.0351, 2.2837], [-1.1842, 4.6851, 1.0061], [-3.6567, 2.2073, -2.4741]], "species": ["Bi", "Bi", "Ir", "W"], "fractional_positions": [[0.0000, 0.0000, 0.0000], [0.2500, 0.2500, 0.2500], [0.5000, 0.5000, 0.5000], [0.7500, 0.7500, 0.7500]]}

No. 6
{"formula": "Hf4CdAsN2", "functional": "PBE-GGA", "state": "optimized geometry", "cell": [[-2.6808, -0.4036, -1.9231], [1.1668, -2.5520, 1.7816], [-7.9061, 3.5584, 10.2747]], "species": ["As", "Cd", "Hf", "Hf", "Hf", "Hf", "N", "N"], "fractional_positions": [[0.0000, 0.0000, 0.0000], [0.6667, 0.3333, 0.5000], [0.6667, 0.3333, 0.1416], [0.0000, 0.0000, 0.3200], [0.0000, 0.0000, 0.6800], [0.6667, 0.3333, 0.8584], [0.3333, 0.6667, 0.2342], [0.3333, 0.6667, 0.7658]]}

no.,uncorrected energy (eV per atom)
1,-4.605
2,-3.413
3,-5.416
4,-6.297
5,-6.386
6,-8.867